(1)
Crystalline CoSeSCl2 at its relaxed geometry, computed with PBE.

a b c (Å): 4.504 4.504 4.604
angles (deg): 90.00 90.00 90.00
Element x y z (fractional)
1 Se 0.500 0.500 0.500
2 Cl 0.500 0.000 0.000
3 Cl 0.000 0.500 0.000
4 Co 0.000 0.000 0.000
5 S 0.000 0.000 0.500

Properties
**Raw formation energy**: 0.2854 eV per atom
**Size of the total moment**: 0.879 μB per cell
**E_tot**: -16.98 eV per cell
**Symmetry**: P4/mmm (123)
**Energy relative to the lowest polymorph listed for this composition**: 0 meV/atom


(2)
Crystalline Rb3PmNd2Se6 at its relaxed geometry, computed with PBE.

a b c (Å): 7.566 7.566 8.412
angles (deg): 98.62 98.62 120.00
Element x y z (fractional)
1 Se 0.399 0.067 0.201
2 Se 0.601 0.933 0.799
3 Se 0.265 0.265 0.799
4 Se 0.067 0.399 0.201
5 Se 0.735 0.735 0.201
6 Se 0.933 0.601 0.799
7 Nd 0.333 0.667 0.000
8 Nd 0.667 0.333 0.000
9 Rb 0.167 0.833 0.500
10 Rb 0.500 0.500 0.500
11 Rb 0.833 0.167 0.500
12 Pm 0.000 0.000 0.000

Properties
**Raw formation energy**: -1.7362 eV per atom
**Size of the total moment**: 0.000 μB per cell
**E_tot**: -58.93 eV per cell
**Symmetry**: C2/m (12)


(3)
Crystalline Na3TiIr2Se6 at its relaxed geometry, computed with PBE.

a b c (Å): 6.654 6.654 7.161
angles (deg): 98.88 98.88 121.27
Element x y z (fractional)
1 Na 0.166 0.834 0.500
2 Na 0.500 0.500 0.500
3 Na 0.834 0.166 0.500
4 Se 0.939 0.590 0.805
5 Se 0.590 0.939 0.805
6 Se 0.277 0.277 0.800
7 Se 0.723 0.723 0.200
8 Se 0.410 0.061 0.195
9 Se 0.061 0.410 0.195
10 Ti 0.000 0.000 0.000
11 Ir 0.665 0.335 0.000
12 Ir 0.335 0.665 0.000

Properties
**Raw formation energy**: -0.7229 eV per atom
**Size of the total moment**: 1.010 μB per cell
**E_tot**: -59.16 eV per cell
**Symmetry**: C2/m (12)


(4)
Crystalline Sm4Er2Tl at its relaxed geometry, computed with PBE.

a b c (Å): 3.622 3.622 19.884
angles (deg): 84.77 84.77 60.00
Element x y z (fractional)
1 Sm 0.878 0.878 0.366
2 Sm 0.122 0.122 0.634
3 Sm 0.308 0.308 0.075
4 Sm 0.692 0.692 0.925
5 Tl 0.500 0.500 0.500
6 Er 0.593 0.593 0.220
7 Er 0.407 0.407 0.780

Properties
**Energy relative to the elements**: -0.044 eV/atom
**Size of the total moment**: 0.000 μB per cell
**E_tot**: -30.68 eV per cell
**Symmetry**: R-3m (166)
**Energy relative to the lowest polymorph listed for this composition**: 0 meV/atom


(5)
Crystalline Na5Lu3H12 at its relaxed geometry, computed with PBE.

a b c (Å): 10.867 10.867 10.867
angles (deg): 109.47 109.47 109.47
Element x y z (fractional)
1 H 0.066 0.418 0.832
2 H 0.918 0.832 0.566
3 H 0.418 0.352 0.586
4 H 0.266 0.414 0.832
5 H 0.418 0.066 0.332
6 H 0.582 0.648 0.414
7 H 0.332 0.766 0.414
8 H 0.852 0.266 0.434
9 H 0.832 0.914 0.266
10 H 0.148 0.414 0.082
11 H 0.332 0.566 0.418
12 H 0.352 0.418 0.086
13 H 0.582 0.934 0.668
14 H 0.734 0.586 0.168
15 H 0.414 0.148 0.582
16 H 0.086 0.918 0.352
17 H 0.352 0.934 0.766
18 H 0.934 0.582 0.168
19 H 0.766 0.434 0.352
20 H 0.586 0.734 0.668
21 H 0.566 0.332 0.918
22 H 0.934 0.352 0.266
23 H 0.414 0.266 0.332
24 H 0.648 0.066 0.234
25 H 0.734 0.148 0.066
26 H 0.918 0.086 0.852
27 H 0.914 0.082 0.648
28 H 0.148 0.734 0.566
29 H 0.082 0.914 0.148
30 H 0.234 0.566 0.648
31 H 0.234 0.668 0.086
32 H 0.168 0.086 0.734
33 H 0.668 0.434 0.582
34 H 0.266 0.852 0.934
35 H 0.914 0.832 0.766
36 H 0.586 0.852 0.418
37 H 0.168 0.082 0.934
38 H 0.434 0.668 0.082
39 H 0.648 0.582 0.914
40 H 0.852 0.586 0.918
41 H 0.434 0.766 0.852
42 H 0.668 0.234 0.586
43 H 0.082 0.168 0.434
44 H 0.832 0.918 0.066
45 H 0.086 0.168 0.234
46 H 0.566 0.234 0.148
47 H 0.766 0.332 0.914
48 H 0.066 0.648 0.734
49 Na 0.750 0.125 0.875
50 Na 0.875 0.625 0.750
51 Na 0.500 0.000 0.000
52 Na 0.500 0.000 0.500
53 Na 0.125 0.750 0.375
54 Na 0.750 0.625 0.375
55 Na 0.500 0.500 0.500
56 Na 0.250 0.375 0.625
57 Na 0.000 0.000 0.500
58 Na 0.625 0.875 0.250
59 Na 0.250 0.875 0.125
60 Na 0.625 0.750 0.875
61 Na 0.000 0.500 0.500
62 Na 0.875 0.250 0.625
63 Na 0.000 0.000 0.000
64 Na 0.500 0.500 0.000
65 Na 0.375 0.250 0.125
66 Na 0.000 0.500 0.000
67 Na 0.375 0.125 0.750
68 Na 0.125 0.375 0.250
69 Lu 0.250 0.125 0.375
70 Lu 0.125 0.875 0.750
71 Lu 0.625 0.375 0.750
72 Lu 0.375 0.750 0.625
73 Lu 0.875 0.125 0.250
74 Lu 0.750 0.375 0.125
75 Lu 0.250 0.625 0.875
76 Lu 0.375 0.625 0.250
77 Lu 0.750 0.875 0.625
78 Lu 0.125 0.250 0.875
79 Lu 0.875 0.750 0.125
80 Lu 0.625 0.250 0.375

Properties
**Size of the total moment**: 0.001 μB per cell
**E_tot**: -260.35 eV per cell
**Symmetry**: Ia-3d (230)


(6)
Crystalline NaTl2Au at its relaxed geometry, computed with PBE.

a b c (Å): 4.900 4.900 6.028
angles (deg): 66.02 66.02 60.00
Element x y z (fractional)
1 Tl 0.270 0.270 0.191
2 Tl 0.062 0.062 0.815
3 Na 0.489 0.489 0.532
4 Au 0.680 0.680 0.961

Properties
**Energy relative to the elements**: -0.115 eV/atom
**Size of the total moment**: 0.000 μB per cell
**E_tot**: -9.79 eV per cell
**Symmetry**: R3m (160)


Look up the size of the total moment of the sixth one.
0.000 μB per cell


Among the records above, which one has the lowest E_tot?
Na5Lu3H12


Which of these has the highest E_tot?
NaTl2Au


Which value of size of the total moment does entry 3 give?
1.010 μB per cell